No. 1
This record from OQMD via LeMat-Bulk describes crystalline LiDyTc at its relaxed geometry. The functional is PBE-GGA.

Cell lengths 4.535, 4.535, 4.535 Å; angles 60.00, 60.00, 60.00 degrees
Fractional coordinates of all 3 atoms:
Tc 0.750 0.750 0.750
Li 0.250 0.250 0.250
Dy 0.000 0.000 0.000

Crystal system: cubic
Space-group type: F-43m, No. 216


No. 2
This record from OQMD via LeMat-Bulk describes crystalline LiDyTc at its relaxed geometry. The functional is PBE-GGA.

Cell lengths 4.355, 4.355, 4.355 Å; angles 60.00, 60.00, 60.00 degrees
Fractional coordinates of all 3 atoms:
Li 0.000 0.000 0.000
Tc 0.750 0.750 0.750
Dy 0.250 0.250 0.250

Crystal system: cubic
Space-group type: F-43m, No. 216


No. 3
This record from OQMD via LeMat-Bulk describes crystalline LiDyZnTe3 at its relaxed geometry. The functional is PBE-GGA.

Cell lengths 12.607, 4.275, 12.976 Å; angles 90.00, 90.00, 90.00 degrees
Fractional coordinates of all 24 atoms:
Dy 0.177 0.500 0.452
Te 0.425 0.000 0.089
Zn 0.214 0.000 0.737
Te 0.343 0.500 0.715
Te 0.142 0.000 0.931
Li 0.512 0.500 0.381
Te 0.858 0.500 0.069
Te 0.642 0.500 0.569
Te 0.358 0.000 0.431
Te 0.075 0.000 0.589
Zn 0.786 0.500 0.263
Li 0.012 0.000 0.119
Zn 0.714 0.500 0.763
Dy 0.823 0.000 0.548
Te 0.157 0.500 0.215
Li 0.988 0.500 0.881
Dy 0.323 0.500 0.952
Te 0.843 0.000 0.785
Te 0.925 0.500 0.411
Dy 0.677 0.000 0.048
Li 0.488 0.000 0.619
Te 0.657 0.000 0.285
Te 0.575 0.500 0.911
Zn 0.286 0.000 0.237

Crystal system: orthorhombic
Space-group type: Pnma, No. 62


Across the entries above, distance to the lowest polymorph of the same formula takes the values 34.62, 0.00, 5.02 kJ per mole of atoms, respectively.
Across the entries above, calculated density takes the values 6.74, 7.60, 5.87 g/cm³, respectively.